Entry 1:
DFT (PBE) results for crystalline Hf2ZnC at its relaxed geometry.

Cell: 4.434 4.434 4.434 Å, 60.00 60.00 60.00°
Element x y z (fractional)
Hf: 0.750 0.750 0.750
C: 0.000 0.000 0.000
Hf: 0.250 0.250 0.250
Zn: 0.500 0.500 0.500

## Properties
* N(E_F): 4.65 states/eV/f.u.
* E_tot: -28.13 eV per cell
* M_tot: 0.0 μB/cell
* energy relative to the elements: 0.57 eV/atom

=====

Entry 2:
DFT (PBE) results for crystalline Hf6Zn3C at its relaxed geometry.

Cell: 5.791 7.186 9.023 Å, 90.00 86.63 90.00°
Element x y z (fractional)
Zn: 0.588 0.879 0.741
Hf: 0.662 0.455 0.271
C: 0.000 0.000 0.000
Zn: 0.412 0.121 0.259
Hf: 0.338 0.545 0.729
Hf: 0.890 0.709 0.939
Hf: 0.836 0.646 0.557
Zn: 0.500 0.500 0.000
Zn: 0.912 0.379 0.759
Hf: 0.838 0.955 0.229
Hf: 0.610 0.209 0.561
C: 0.500 0.500 0.500
Zn: 0.000 0.000 0.500
Hf: 0.162 0.045 0.771
Hf: 0.336 0.854 0.057
Zn: 0.088 0.621 0.241
Hf: 0.164 0.354 0.443
Hf: 0.664 0.146 0.943
Hf: 0.110 0.291 0.061
Hf: 0.390 0.791 0.439

## Properties
* N(E_F): 6.57 states/eV/f.u.
* E_tot: -149.54 eV per cell
* M_tot: 0.0 μB/cell
* energy relative to the elements: -0.20 eV/atom

=====

Entry 3:
DFT (PBE) results for crystalline Hf4ZnC at its relaxed geometry.

Cell: 5.633 6.491 7.391 Å, 109.58 105.14 105.84°
Element x y z (fractional)
C: 0.814 0.064 0.127
Hf: 0.040 0.832 0.107
Hf: 0.715 0.055 0.409
Zn: 0.360 0.610 0.220
Hf: 0.806 0.646 0.591
Hf: 0.567 0.275 0.107
C: 0.186 0.936 0.873
Hf: 0.194 0.354 0.409
Zn: 0.640 0.390 0.780
Hf: 0.960 0.168 0.893
Hf: 0.285 0.945 0.591
Hf: 0.433 0.725 0.893

## Properties
* N(E_F): 5.42 states/eV/f.u.
* E_tot: -103.23 eV per cell
* M_tot: 0.0 μB/cell
* energy relative to the elements: -0.22 eV/atom

=====

Entry 4:
DFT (PBE) results for crystalline Hf2ZnC at its relaxed geometry.

Cell: 6.538 6.538 5.626 Å, 54.48 54.48 90.00°
Element x y z (fractional)
C: 0.250 0.750 0.500
Hf: 0.875 0.808 0.750
Zn: 0.000 0.000 0.000
Hf: 0.375 0.442 0.750
Hf: 0.192 0.625 0.250
Hf: 0.558 0.125 0.250
C: 0.500 0.500 0.000
Zn: 0.750 0.250 0.500

## Properties
* N(E_F): 1.83 states/eV/f.u.
* E_tot: -60.85 eV per cell
* M_tot: 0.0 μB/cell
* energy relative to the elements: 0.00 eV/atom

=====

Entry 5:
DFT (PBE) results for crystalline Hf2ZnC2 at its relaxed geometry.

Cell: 6.684 6.684 3.024 Å, 90.00 90.00 90.00°
Element x y z (fractional)
Hf: 0.848 0.652 0.000
C: 0.840 0.340 0.500
C: 0.340 0.160 0.500
Zn: 0.500 0.500 0.000
Hf: 0.348 0.848 0.000
Hf: 0.152 0.348 0.000
C: 0.160 0.660 0.500
Hf: 0.652 0.152 0.000
C: 0.660 0.840 0.500
Zn: 0.000 0.000 0.000

## Properties
* N(E_F): 1.29 states/eV/f.u.
* E_tot: -75.40 eV per cell
* M_tot: 0.0 μB/cell
* relative energy among the computed polymorphs: 290.1 meV per atom
* energy relative to the elements: 0.39 eV/atom

=====

Entry 6:
DFT (PBE) results for crystalline Hf4Zn2C at its relaxed geometry.

Cell: 3.239 7.515 10.751 Å, 90.00 90.00 90.00°
Element x y z (fractional)
Zn: 0.500 0.940 0.859
Hf: 0.000 0.633 0.812
Hf: 0.500 0.685 0.063
Zn: 0.500 0.440 0.641
Hf: 0.000 0.367 0.188
C: 0.000 0.000 0.500
Hf: 0.500 0.815 0.563
Zn: 0.500 0.060 0.141
Hf: 0.000 0.133 0.688
Hf: 0.500 0.185 0.437
Hf: 0.500 0.315 0.937
Zn: 0.500 0.560 0.359
Hf: 0.000 0.867 0.312
C: 0.000 0.500 0.000

## Properties
* N(E_F): 4.46 states/eV/f.u.
* E_tot: -106.78 eV per cell
* M_tot: 0.0 μB/cell
* energy relative to the elements: -0.26 eV/atom

=====

Entry 7:
DFT (PBE) results for crystalline HfZn2C2 at its relaxed geometry.

Cell: 3.925 3.925 4.783 Å, 65.77 65.77 90.00°
Element x y z (fractional)
Hf: 0.000 0.000 0.000
Zn: 0.350 0.350 0.299
C: 0.750 0.250 0.500
C: 0.250 0.750 0.500
Zn: 0.650 0.650 0.701

## Properties
* N(E_F): 2.19 states/eV/f.u.
* E_tot: -26.34 eV per cell
* M_tot: 0.0 μB/cell
* relative energy among the computed polymorphs: 0.0 meV per atom
* energy relative to the elements: 0.92 eV/atom

=====

Entry 8:
DFT (PBE) results for crystalline HfZr2ZnC at its relaxed geometry.

Cell: 4.531 4.531 4.456 Å, 90.00 90.00 90.00°
Element x y z (fractional)
Zr: 0.000 0.500 0.000
Hf: 0.000 0.000 0.500
Zn: 0.500 0.500 0.500
Zr: 0.500 0.000 0.000
C: 0.000 0.000 0.000

## Properties
* N(E_F): 1.87 states/eV/f.u.
* E_tot: -39.60 eV per cell
* M_tot: 0.0 μB/cell
* energy relative to the elements: -0.41 eV/atom

=====

Copy entry 2 word for word.
DFT (PBE) results for crystalline Hf6Zn3C at its relaxed geometry.

Cell: 5.791 7.186 9.023 Å, 90.00 86.63 90.00°
Element x y z (fractional)
Zn: 0.588 0.879 0.741
Hf: 0.662 0.455 0.271
C: 0.000 0.000 0.000
Zn: 0.412 0.121 0.259
Hf: 0.338 0.545 0.729
Hf: 0.890 0.709 0.939
Hf: 0.836 0.646 0.557
Zn: 0.500 0.500 0.000
Zn: 0.912 0.379 0.759
Hf: 0.838 0.955 0.229
Hf: 0.610 0.209 0.561
C: 0.500 0.500 0.500
Zn: 0.000 0.000 0.500
Hf: 0.162 0.045 0.771
Hf: 0.336 0.854 0.057
Zn: 0.088 0.621 0.241
Hf: 0.164 0.354 0.443
Hf: 0.664 0.146 0.943
Hf: 0.110 0.291 0.061
Hf: 0.390 0.791 0.439

## Properties
* N(E_F): 6.57 states/eV/f.u.
* E_tot: -149.54 eV per cell
* M_tot: 0.0 μB/cell
* energy relative to the elements: -0.20 eV/atom

=====

> Which of these has the highest E_tot?

HfZn2C2